[1]
VASP calculation (SCAN) on a crystal of MgSi2B12 relaxed with PBEsol.

a b c (Å): 6.0912 8.3696 10.9907
angles (deg): 90.00 90.00 90.00
Positions (direct):
Mg  0.7500  0.3415  0.9295
Mg  0.2500  0.6585  0.0705
Mg  0.2500  0.8415  0.5705
Mg  0.7500  0.1585  0.4295
B  0.4088  0.8333  0.2132
B  0.7500  0.6483  0.3467
B  0.5168  0.5300  0.3268
B  0.5922  0.6665  0.2084
B  0.0912  0.8333  0.2132
B  0.5168  0.9700  0.8268
B  0.7500  0.5569  0.0973
B  0.7500  0.1546  0.6474
B  0.9855  0.0331  0.6694
B  0.0922  0.1665  0.2916
B  0.0168  0.4700  0.6732
B  0.0145  0.9669  0.3306
B  0.5913  0.1667  0.7868
B  0.9088  0.1667  0.7868
B  0.2500  0.6546  0.8526
B  0.4078  0.3335  0.7916
B  0.4855  0.9669  0.3306
B  0.7500  0.3454  0.1474
B  0.9832  0.9700  0.8268
B  0.0922  0.3335  0.7916
B  0.9088  0.3333  0.2868
B  0.4832  0.0300  0.1732
B  0.2500  0.3517  0.6533
B  0.7500  0.0548  0.8990
B  0.4078  0.1665  0.2916
B  0.5913  0.3333  0.2868
B  0.9078  0.6665  0.2084
B  0.7500  0.8517  0.8467
B  0.2500  0.4431  0.9027
B  0.5922  0.8335  0.7084
B  0.5145  0.4669  0.1694
B  0.2500  0.1483  0.1533
B  0.2500  0.0569  0.4027
B  0.4832  0.4700  0.6732
B  0.7500  0.4452  0.3990
B  0.5145  0.0331  0.6694
B  0.2500  0.9452  0.1010
B  0.0912  0.6667  0.7132
B  0.0168  0.0300  0.1732
B  0.4855  0.5331  0.8306
B  0.9855  0.4669  0.1694
B  0.2500  0.5548  0.6010
B  0.7500  0.9431  0.5973
B  0.4088  0.6667  0.7132
B  0.9832  0.5300  0.3268
B  0.2500  0.8454  0.3526
B  0.9078  0.8335  0.7084
B  0.0145  0.5331  0.8306
Si  0.7500  0.1016  0.0842
Si  0.2500  0.6016  0.4158
Si  0.7500  0.3984  0.5842
Si  0.2500  0.1331  0.5810
Si  0.7500  0.6331  0.9190
Si  0.2500  0.3669  0.0810
Si  0.2500  0.8984  0.9158
Si  0.7500  0.8669  0.4190

Calculated values
E = -465.63 eV per cell
Space-group type = Pnma, No. 62
Spin magnetization = 0.0 μB/f.u.
Raw formation energy = -0.150 eV per atom

***

[2]
VASP calculation (SCAN) on a crystal of SrTa2Cr relaxed with PBEsol.

a b c (Å): 4.8053 4.8053 4.8053
angles (deg): 60.00 60.00 60.00
Last column: magnetic moment on the atom in μB.
Positions (direct):
Ta  0.7500  0.7500  0.7500  -0.28
Ta  0.0000  0.0000  0.0000  0.07
Sr  0.2500  0.2500  0.2500  0.06
Cr  0.5000  0.5000  0.5000  3.49

Calculated values
E = -169.81 eV per cell
Space-group type = F-43m, No. 216
Spin magnetization = 3.7 μB/f.u.

***

[3]
VASP calculation (SCAN) on a crystal of CdGaF2 relaxed with PBEsol.

a b c (Å): 4.3735 4.3735 4.3735
angles (deg): 60.00 60.00 60.00
Positions (direct):
Cd  0.5000  0.5000  0.5000
F  0.2500  0.2500  0.2500
F  0.7500  0.7500  0.7500
Ga  0.0000  0.0000  0.0000

Calculated values
E = -58.61 eV per cell
Space-group type = Fm-3m, No. 225
Spin magnetization = 0.0 μB/f.u.
Raw formation energy = -1.192 eV per atom

***

[4]
VASP calculation (SCAN) on a crystal of ScSi2Au relaxed with PBEsol.

a b c (Å): 3.7868 3.7868 6.3262
angles (deg): 72.58 72.58 60.00
Positions (direct):
Si  0.0155  0.0155  0.9534
Si  0.7377  0.7377  0.7869
Sc  0.2545  0.2545  0.2366
Au  0.4923  0.4923  0.5231

Calculated values
E = -104.42 eV per cell
Space-group type = R3m, No. 160
Spin magnetization = 0.0 μB/f.u.
Raw formation energy = -0.248 eV per atom

***

[5]
VASP calculation (SCAN) on a crystal of Mg2AgHg2 relaxed with PBEsol.

a b c (Å): 3.9428 3.9428 7.8467
angles (deg): 104.55 104.55 90.00
Positions (direct):
Mg  0.4035  0.4035  0.8071
Mg  0.5965  0.5965  0.1929
Ag  0.0000  0.0000  0.0000
Hg  0.7500  0.2500  0.5000
Hg  0.2500  0.7500  0.5000

Calculated values
E = -177.41 eV per cell
Space-group type = I4/mmm, No. 139
Spin magnetization = 0.0 μB/f.u.

***

[6]
VASP calculation (SCAN) on a crystal of B6O relaxed with PBEsol.

a b c (Å): 5.1301 5.1301 5.1301
angles (deg): 63.12 63.12 63.12
Positions (direct):
B  0.0021  0.3332  0.0021
B  0.6668  0.9979  0.9979
B  0.6756  0.2017  0.2017
B  0.7983  0.3244  0.7983
B  0.2017  0.2017  0.6756
B  0.7983  0.7983  0.3244
B  0.3332  0.0021  0.0021
B  0.0021  0.0021  0.3332
B  0.9979  0.6668  0.9979
B  0.2017  0.6756  0.2017
B  0.3244  0.7983  0.7983
B  0.9979  0.9979  0.6668
O  0.3781  0.3781  0.3781
O  0.6219  0.6219  0.6219

Calculated values
E = -112.65 eV per cell
Space-group type = R-3m, No. 166
Spin magnetization = 0.0 μB/f.u.
Raw formation energy = -0.788 eV per atom

***

[7]
VASP calculation (SCAN) on a crystal of ZnNiIr2 relaxed with PBEsol.

a b c (Å): 3.7189 3.7189 4.5722
angles (deg): 114.00 114.00 90.00
Positions (direct):
Ir  0.0000  0.0000  0.0000
Ir  0.7500  0.2500  0.5000
Zn  0.2500  0.7500  0.5000
Ni  0.5000  0.5000  0.0000

Calculated values
E = -172.21 eV per cell
Space-group type = I-4m2, No. 119
Spin magnetization = 0.0 μB/f.u.

***

[8]
VASP calculation (SCAN) on a crystal of La3GeH relaxed with PBEsol.

a b c (Å): 4.8714 4.8714 4.8714
angles (deg): 90.00 90.00 90.00
Positions (direct):
Ge  0.5000  0.5000  0.5000
La  0.5000  0.0000  0.0000
La  0.0000  0.5000  0.0000
La  0.0000  0.0000  0.5000
H  0.0000  0.0000  0.0000

Calculated values
E = -154.20 eV per cell
Space-group type = Pm-3m, No. 221
Spin magnetization = 0.0 μB/f.u.

***

[9]
VASP calculation (SCAN) on a crystal of TaTi2OsC relaxed with PBEsol.

a b c (Å): 3.9180 4.2257 4.2257
angles (deg): 90.00 90.00 90.00
Positions (direct):
Ta  0.5000  0.5000  0.5000
C  0.0000  0.0000  0.0000
Os  0.5000  0.0000  0.0000
Ti  0.0000  0.5000  0.0000
Ti  0.0000  0.0000  0.5000

Calculated values
E = -182.14 eV per cell
Space-group type = P4/mmm, No. 123
Spin magnetization = 0.0 μB/f.u.

***

[10]
VASP calculation (SCAN) on a crystal of Ca3SbMo relaxed with PBEsol.

a b c (Å): 5.2780 5.2780 5.2780
angles (deg): 90.00 90.00 90.00
Positions (direct):
Ca  0.5000  0.0000  0.0000
Ca  0.0000  0.0000  0.5000
Ca  0.0000  0.5000  0.0000
Mo  0.0000  0.0000  0.0000
Sb  0.5000  0.5000  0.5000

Calculated values
E = -97.68 eV per cell
Space-group type = Pm-3m, No. 221
Spin magnetization = 0.0 μB/f.u.
Raw formation energy = 0.691 eV per atom

***

[11]
VASP calculation (SCAN) on a crystal of TlRe2Hg relaxed with PBEsol.

a b c (Å): 2.9648 2.9812 8.6699
angles (deg): 99.86 90.00 90.00
Positions (direct):
Tl  0.0000  0.1699  0.4677
Re  0.0000  0.9574  0.0384
Re  0.5000  0.5410  0.2066
Hg  0.5000  0.3317  0.7873

Calculated values
E = -280.94 eV per cell
Space-group type = Pm, No. 6
Spin magnetization = 0.0 μB/f.u.

***

[12]
VASP calculation (SCAN) on a crystal of KAs2Se relaxed with PBEsol.

a b c (Å): 3.9006 3.9006 6.4659
angles (deg): 90.00 90.00 90.00
Positions (direct):
K  0.5000  0.5000  0.0000
Se  0.5000  0.5000  0.5000
As  0.0000  0.0000  0.3211
As  0.0000  0.0000  0.6789

Calculated values
E = -68.69 eV per cell
Space-group type = P4/mmm, No. 123
Spin magnetization = 0.0 μB/f.u.
Raw formation energy = 0.024 eV per atom

***

[13]
VASP calculation (SCAN) on a crystal of Cs2ZrAgIr relaxed with PBEsol.

a b c (Å): 4.7844 6.7556 6.7556
angles (deg): 90.00 90.00 90.00
Positions (direct):
Cs  0.0000  0.0000  0.5000
Cs  0.0000  0.5000  0.0000
Ag  0.5000  0.5000  0.5000
Ir  0.0000  0.0000  0.0000
Zr  0.5000  0.0000  0.0000

Calculated values
E = -205.08 eV per cell
Space-group type = P4/mmm, No. 123
Spin magnetization = 0.0 μB/f.u.

***

[14]
VASP calculation (SCAN) on a crystal of MgCr4Rh relaxed with PBEsol.

a b c (Å): 4.7443 4.7443 4.7443
angles (deg): 60.00 60.00 60.00
Positions (direct):
Mg  0.7500  0.7500  0.7500
Cr  0.8688  0.3771  0.3771
Cr  0.3771  0.3771  0.8688
Cr  0.3771  0.3771  0.3771
Cr  0.3771  0.8688  0.3771
Rh  0.0000  0.0000  0.0000

Calculated values
E = -111.24 eV per cell
Space-group type = F-43m, No. 216
Spin magnetization = 0.0 μB/f.u.

***

[15]
VASP calculation (SCAN) on a crystal of ReOs2Se relaxed with PBEsol.

a b c (Å): 2.8368 4.0350 5.2463
angles (deg): 90.00 104.68 90.00
Positions (direct):
Os  0.8727  0.0000  0.7451
Os  0.1273  0.0000  0.2549
Se  0.5000  0.5000  0.5000
Re  0.5000  0.5000  0.0000

Calculated values
E = -232.49 eV per cell
Space-group type = P2/m, No. 10
Spin magnetization = 0.0 μB/f.u.
Raw formation energy = 0.612 eV per atom

***

[16]
VASP calculation (SCAN) on a crystal of AgTe2 relaxed with PBEsol.

a b c (Å): 3.0588 5.3765 5.3765
angles (deg): 120.00 90.00 90.00
Positions (direct):
Te  0.5000  0.6667  0.3333
Te  0.5000  0.3333  0.6667
Ag  0.0000  0.0000  0.0000

Calculated values
E = -104.84 eV per cell
Space-group type = P6/mmm, No. 191
Spin magnetization = 0.0 μB/f.u.
Raw formation energy = 0.344 eV per atom

***

[17]
VASP calculation (SCAN) on a crystal of CuSe3O relaxed with PBEsol.

a b c (Å): 4.3922 4.3922 4.3922
angles (deg): 90.00 90.00 90.00
Positions (direct):
Cu  0.5000  0.5000  0.5000
Se  0.0000  0.0000  0.5000
Se  0.5000  0.0000  0.0000
Se  0.0000  0.5000  0.0000
O  0.0000  0.0000  0.0000

Calculated values
E = -78.19 eV per cell
Space-group type = Pm-3m, No. 221
Spin magnetization = 0.0 μB/f.u.
Raw formation energy = 0.695 eV per atom

***

[18]
VASP calculation (SCAN) on a crystal of NaCo3Ir relaxed with PBEsol.

a b c (Å): 4.5655 4.5655 4.5655
angles (deg): 90.00 90.00 90.00
Last column: magnetic moment on the atom in μB.
Positions (direct):
Co  0.0000  0.5000  0.0000  2.31
Co  0.5000  0.0000  0.0000  2.31
Co  0.0000  0.0000  0.5000  2.31
Na  0.5000  0.5000  0.5000  -0.01
Ir  0.0000  0.0000  0.0000  0.71

Calculated values
E = -122.52 eV per cell
Space-group type = Pm-3m, No. 221
Spin magnetization = 7.6 μB/f.u.

***

[19]
VASP calculation (SCAN) on a crystal of Zr2Be2Sn relaxed with PBEsol.

a b c (Å): 3.8798 6.4580 6.4580
angles (deg): 90.00 90.00 90.00
Positions (direct):
Be  0.0000  0.1149  0.3851
Be  0.0000  0.3851  0.8851
Be  0.0000  0.6149  0.1149
Be  0.0000  0.8851  0.6149
Zr  0.5000  0.6710  0.8290
Zr  0.5000  0.8290  0.3290
Zr  0.5000  0.1710  0.6710
Zr  0.5000  0.3290  0.1710
Sn  0.0000  0.0000  0.0000
Sn  0.0000  0.5000  0.5000

Calculated values
E = -216.35 eV per cell
Space-group type = P4/mbm, No. 127
Spin magnetization = 0.0 μB/f.u.

***

[20]
VASP calculation (SCAN) on a crystal of CdTeW2 relaxed with PBEsol.

a b c (Å): 3.2200 3.2200 9.1859
angles (deg): 79.91 79.91 60.00
Positions (direct):
W  0.0079  0.0079  0.9762
W  0.7389  0.7389  0.7834
Cd  0.4918  0.4918  0.5245
Te  0.2614  0.2614  0.2159

Calculated values
E = -205.12 eV per cell
Space-group type = R3m, No. 160
Spin magnetization = 0.0 μB/f.u.
Raw formation energy = 0.480 eV per atom

***

Number 1: ρ 2.49 g cm⁻³. Number 2: ρ 10.61 g cm⁻³. Number 3: ρ 6.18 g cm⁻³. Number 4: ρ 6.71 g cm⁻³. Number 5: ρ 8.12 g cm⁻³. Number 6: ρ 2.63 g cm⁻³. Number 7: ρ 16.32 g cm⁻³. Number 8: ρ 7.04 g cm⁻³. Number 9: ρ 11.37 g cm⁻³. Number 10: ρ 3.82 g cm⁻³. Number 11: ρ 17.10 g cm⁻³. Number 12: ρ 4.52 g cm⁻³. Number 13: ρ 5.00 g cm⁻³. Number 14: ρ 7.37 g cm⁻³. Number 15: ρ 18.46 g cm⁻³. Number 16: ρ 7.87 g cm⁻³. Number 17: ρ 6.20 g cm⁻³. Number 18: ρ 6.84 g cm⁻³. Number 19: ρ 6.55 g cm⁻³. Number 20: ρ 12.49 g cm⁻³.